(1)
9
Lattice="5.2644 0.0000 0.0000 -2.6322 4.5591 0.0000 0.0000 0.0000 5.0905" Properties=species:S:1:pos:R:3 comment="GGA-PBE HgSbSeO6, optimized geometry" e_tot_ev_per_atom=-4.915 spacegroup="P312, No. 149" pbc="T T T"
Hg 0.0000 0.0000 0.0000
Sb 2.6322 1.5197 2.5453
Se 0.0000 3.0394 2.5453
O -0.9392 1.7290 3.6398
O -1.6044 2.8812 1.4507
O 0.9392 1.7290 1.4507
O -0.6652 4.5079 3.6398
O 1.6044 2.8812 3.6398
O 0.6652 4.5079 1.4507

(2)
12
Lattice="4.2637 -2.7258 0.0000 4.2637 2.7258 0.0000 -1.3013 0.0000 7.6665" Properties=species:S:1:pos:R:3 comment="GGA-PBE Si2HgSbO8, optimized geometry" e_tot_ev_per_atom=-6.284 spacegroup="C2/m, No. 12" pbc="T T T"
Si 1.2136 0.0000 1.5439
Si 6.0125 0.0000 6.1226
Hg 3.6131 0.0000 3.8332
Sb 4.2637 0.0000 0.0000
O 2.7084 1.3896 6.2484
O 1.7268 0.0000 3.1086
O 2.3489 0.0000 0.3918
O 4.5178 1.3896 1.4180
O 2.7084 -1.3896 6.2484
O 4.8773 0.0000 7.2747
O 5.4994 0.0000 4.5579
O 4.5178 -1.3896 1.4180

(3)
9
Lattice="5.1076 0.0000 0.0000 -2.5538 4.4233 0.0000 0.0000 0.0000 4.8143" Properties=species:S:1:pos:R:3 comment="GGA-PBE SiHgSbO6, optimized geometry" e_tot_ev_per_atom=-5.743 spacegroup="P312, No. 149" pbc="T T T"
Si 0.0000 0.0000 0.0000
Hg 0.0000 2.9489 2.4071
Sb 2.5538 1.4744 0.0000
O 1.4919 0.1194 1.0184
O 0.8493 1.2323 3.7958
O 3.6158 0.1194 3.7958
O 1.9113 3.0717 1.0184
O 4.2583 1.2323 1.0184
O 3.1963 3.0717 3.7958

Repeat the first record exactly.
9
Lattice="5.2644 0.0000 0.0000 -2.6322 4.5591 0.0000 0.0000 0.0000 5.0905" Properties=species:S:1:pos:R:3 comment="GGA-PBE HgSbSeO6, optimized geometry" e_tot_ev_per_atom=-4.915 spacegroup="P312, No. 149" pbc="T T T"
Hg 0.0000 0.0000 0.0000
Sb 2.6322 1.5197 2.5453
Se 0.0000 3.0394 2.5453
O -0.9392 1.7290 3.6398
O -1.6044 2.8812 1.4507
O 0.9392 1.7290 1.4507
O -0.6652 4.5079 3.6398
O 1.6044 2.8812 3.6398
O 0.6652 4.5079 1.4507

Please write out number 1 again, unchanged.
9
Lattice="5.2644 0.0000 0.0000 -2.6322 4.5591 0.0000 0.0000 0.0000 5.0905" Properties=species:S:1:pos:R:3 comment="GGA-PBE HgSbSeO6, optimized geometry" e_tot_ev_per_atom=-4.915 spacegroup="P312, No. 149" pbc="T T T"
Hg 0.0000 0.0000 0.0000
Sb 2.6322 1.5197 2.5453
Se 0.0000 3.0394 2.5453
O -0.9392 1.7290 3.6398
O -1.6044 2.8812 1.4507
O 0.9392 1.7290 1.4507
O -0.6652 4.5079 3.6398
O 1.6044 2.8812 3.6398
O 0.6652 4.5079 1.4507